1.
VASP calculation (PBE) on ScTe2W after structural relaxation.

abc: 6.9988 6.9988 6.9988
angles: 149.70 148.99 43.91
Positions (direct):
W  0.5417  0.5417  0.0000
Sc  0.2919  0.7919  0.5000
Te  0.7047  0.2047  0.5000
Te  0.9616  0.9616  0.0000

Output
- Relative energy among the computed polymorphs: 117 meV per atom
- Formation energy without anion corrections: -0.130 eV per atom



2.
VASP calculation (PBE) on ScTe2W after structural relaxation.

abc: 10.8259 10.8259 10.8259
angles: 17.81 17.81 17.81
Positions (direct):
Te  0.0208  0.0208  0.0208
Te  0.2232  0.2232  0.2232
Sc  0.7599  0.7599  0.7599
W  0.4961  0.4961  0.4961

Output
- Relative energy among the computed polymorphs: 158 meV per atom
- Formation energy without anion corrections: -0.088 eV per atom



3.
VASP calculation (PBE) on ScTeW2 after structural relaxation.

abc: 4.5560 4.5560 3.5683
angles: 90.00 90.00 100.68
Positions (direct):
Te  0.0000  0.5000  0.5000
W  0.0000  0.0000  0.0000
W  0.5000  0.5000  0.0000
Sc  0.5000  0.0000  0.5000

Output
- Formation energy without anion corrections: 0.518 eV per atom



4.
VASP calculation (PBE) on ScTe2W after structural relaxation.

abc: 4.8754 4.8754 4.8754
angles: 60.00 60.00 60.00
Positions (direct):
Te  0.7500  0.7500  0.7500
Sc  0.0000  0.0000  0.0000
Te  0.2500  0.2500  0.2500
W  0.5000  0.5000  0.5000

Output
- Relative energy among the computed polymorphs: 220 meV per atom
- Formation energy without anion corrections: -0.027 eV per atom



5.
VASP calculation (PBE) on Sc2TeW after structural relaxation.

abc: 3.2437 3.2437 8.4850
angles: 90.00 90.00 107.57
Positions (direct):
W  0.5000  0.5000  0.7500
Sc  0.0000  0.0000  0.9841
Sc  0.0000  0.0000  0.5159
Te  0.5000  0.5000  0.2500

Output
- Formation energy without anion corrections: -0.068 eV per atom



6.
VASP calculation (PBE) on Sc2TeW after structural relaxation.

abc: 5.5416 5.5416 5.5416
angles: 136.21 136.21 63.66
Positions (direct):
Te  0.5000  0.5000  0.0000
W  0.7500  0.2500  0.5000
Sc  0.0000  0.0000  0.0000
Sc  0.2500  0.7500  0.5000

Output
- Formation energy without anion corrections: 0.021 eV per atom